Record 1
First-principles (PBE) data for a relaxed structure of ScTlIrO6, as listed in Alexandria.

Output
raw formation energy: -1366 meV/atom

Lattice parameters (Å, degrees): 5.3417 5.3417 4.7478 90.00 90.00 120.00
Space group P312 (No. 149)
One atom of each set of equivalent atoms:
Sc 0.0000 0.0000 0.0000 [1 per cell]
Tl 0.6667 0.3333 0.5000 [1 per cell]
Ir 0.3333 0.6667 0.0000 [1 per cell]
O 0.0434 0.3543 0.2303 [6 per cell]



Record 2
First-principles (PBE) data for a relaxed structure of CaOs3Pd, as listed in Alexandria.

Output
excess energy over the best structure of this formula in the dataset: 5.615 eV per formula unit
energy of formation: 3.181 eV per atom

Lattice parameters (Å, degrees): 4.604 4.604 4.604 90.00 90.00 90.00
Space group Pm-3m (No. 221)
One atom of each set of equivalent atoms:
Ca 0.000 0.000 0.000 [1 per cell]
Os 0.000 0.000 0.500 [3 per cell]
Pd 0.500 0.500 0.500 [1 per cell]



Record 3
First-principles (PBE) data for a relaxed structure of Ga4IrRh2, as listed in Alexandria.

Output
excess energy over the best structure of this formula in the dataset: 0.000 eV per formula unit
energy of formation: -0.528 eV per atom

Lattice parameters (Å, degrees): 5.855 8.637 4.277 90.00 90.00 90.00
Space group Cmmm (No. 65)
One atom of each set of equivalent atoms:
Ga 0.226 0.000 0.000 [4 per cell]
Ga 0.250 0.250 0.500 [4 per cell]
Ir 0.000 0.500 0.500 [2 per cell]
Rh 0.000 0.261 0.000 [4 per cell]



Record 4
First-principles (PBE) data for a relaxed structure of K3PrP2O8, as listed in Alexandria.

Output
raw formation energy: -2572 meV/atom

Lattice parameters (Å, degrees): 7.593 5.749 9.680 90.00 91.08 90.00
Space group P2_1/m (No. 11)
One atom of each set of equivalent atoms:
K 0.006 0.250 0.191 [2 per cell]
K 0.141 0.750 0.407 [2 per cell]
K 0.296 0.250 0.916 [2 per cell]
Pr 0.494 0.750 0.709 [2 per cell]
P 0.266 0.750 0.086 [2 per cell]
P 0.305 0.250 0.573 [2 per cell]
O 0.064 0.750 0.100 [2 per cell]
O 0.217 0.250 0.426 [2 per cell]
O 0.250 0.029 0.654 [4 per cell]
O 0.320 0.750 0.931 [2 per cell]
O 0.345 0.529 0.158 [4 per cell]
O 0.492 0.750 0.449 [2 per cell]



Record 5
First-principles (PBE) data for a relaxed structure of Cr3Co, as listed in Alexandria.

Output
energy of formation: 0.202 eV per atom

Lattice parameters (Å, degrees): 4.031 4.942 4.585 90.00 90.00 90.00
Space group Pmmn (No. 59, origin choice 2)
One atom of each set of equivalent atoms:
Cr 0.250 0.017 0.145 [4 per cell]
Cr 0.250 0.750 0.623 [2 per cell]
Co 0.250 0.250 0.664 [2 per cell]



Record 6
First-principles (PBE) data for a relaxed structure of TaSi2Os, as listed in Alexandria.

Output
raw formation energy: -108 meV/atom

Lattice parameters (Å, degrees): 3.707 3.707 8.438 90.00 90.00 90.00
Space group I-4m2 (No. 119)
One atom of each set of equivalent atoms:
Ta 0.000 0.000 0.000 [2 per cell]
Si 0.000 0.000 0.500 [2 per cell]
Si 0.000 0.500 0.250 [2 per cell]
Os 0.000 0.500 0.750 [2 per cell]